[1]
Computed, not measured: Cs2NaSnSe4 after structural relaxation at the PBE level of DFT.

Properties
uncorrected formation energy: -0.791 eV per atom
total DFT energy (no corrections): -3.412 eV/atom
crystal system: orthorhombic
total magnetic moment: 0.00 μB/f.u.

Unit cell a=14.1785 b=12.3768 c=8.4329 alpha=83.60 beta=60.17 gamma=36.23
Last column: nearest neighbours and their distance in Å.
Fractional coordinates of all 16 atoms:
Cs: 0.0589 0.0589 0.6911  6 Se 3.82-3.93
Cs: 0.3089 0.3089 0.9411  6 Se 3.82-3.93
Cs: 0.6911 0.6911 0.0589  6 Se 3.82-3.93
Cs: 0.9411 0.9411 0.3089  6 Se 3.82-3.93
Na: 0.1250 0.1250 0.1250  4 Se 2.88
Na: 0.8750 0.8750 0.8750  4 Se 2.88
Sn: 0.3750 0.3750 0.3750  4 Se 2.57
Sn: 0.6250 0.6250 0.6250  4 Se 2.57
Se: 0.0007 0.6258 0.5520  1 Sn 2.57
Se: 0.3215 0.5520 0.6258  1 Sn 2.57
Se: 0.3742 0.9993 0.6785  1 Sn 2.57
Se: 0.4480 0.6785 0.9993  1 Sn 2.57
Se: 0.5520 0.3215 0.0007  1 Sn 2.57
Se: 0.6258 0.0007 0.3215  1 Sn 2.57
Se: 0.6785 0.4480 0.3742  1 Sn 2.57
Se: 0.9993 0.3742 0.4480  1 Sn 2.57

=====

[2]
Computed, not measured: CsNa2SnSe4 after structural relaxation at the PBE level of DFT.

Properties
uncorrected formation energy: -0.759 eV per atom
total DFT energy (no corrections): -3.438 eV/atom
crystal system: tetragonal
total magnetic moment: 1.10 μB/f.u.

Unit cell a=7.2371 b=7.2371 c=7.2371 alpha=115.36 beta=115.36 gamma=98.25
Last column: nearest neighbours and their distance in Å.
Fractional coordinates of all 8 atoms:
Cs: 0.0000 0.0000 0.0000  8 Se 3.70-3.86
Na: 0.2500 0.7500 0.5000  4 Se 2.95
Na: 0.7500 0.2500 0.5000  4 Se 2.95
Sn: 0.5000 0.5000 0.0000  4 Se 2.56
Se: 0.1533 0.1533 0.6193  1 Sn 2.56
Se: 0.4660 0.8467 0.0000  1 Sn 2.56
Se: 0.5340 0.5340 0.3807  1 Sn 2.56
Se: 0.8467 0.4660 0.0000  1 Sn 2.56

=====

[3]
Computed, not measured: Cs2NaTaSe4 after structural relaxation at the PBE level of DFT.

Properties
uncorrected formation energy: -1.092 eV per atom
total DFT energy (no corrections): -4.694 eV/atom
crystal system: orthorhombic
total magnetic moment: 0.00 μB/f.u.

Unit cell a=15.0719 b=13.5875 c=8.0654 alpha=84.11 beta=63.73 gamma=32.16
Last column: nearest neighbours and their distance in Å.
Fractional coordinates of all 16 atoms:
Cs: 0.0548 0.0548 0.6952  6 Se 3.80-4.14
Cs: 0.3048 0.3048 0.9452  6 Se 3.80-4.14
Cs: 0.6952 0.6952 0.0548  6 Se 3.80-4.14
Cs: 0.9452 0.9452 0.3048  6 Se 3.80-4.14
Na: 0.1250 0.1250 0.1250  4 Se 2.82
Na: 0.8750 0.8750 0.8750  4 Se 2.82
Ta: 0.3750 0.3750 0.3750  4 Se 2.43
Ta: 0.6250 0.6250 0.6250  4 Se 2.43
Se: 0.0199 0.6241 0.5345  1 Ta 2.43
Se: 0.3215 0.5345 0.6241  1 Ta 2.43
Se: 0.3759 0.9801 0.6785  1 Ta 2.43
Se: 0.4655 0.6785 0.9801  1 Ta 2.43
Se: 0.5345 0.3215 0.0199  1 Ta 2.43
Se: 0.6241 0.0199 0.3215  1 Ta 2.43
Se: 0.6785 0.4655 0.3759  1 Ta 2.43
Se: 0.9801 0.3759 0.4655  1 Ta 2.43

=====

[4]
Computed, not measured: CsNa2TaSe4 after structural relaxation at the PBE level of DFT.

Properties
uncorrected formation energy: -1.056 eV per atom
total DFT energy (no corrections): -4.716 eV/atom
crystal system: tetragonal
total magnetic moment: 0.00 μB/f.u.

Unit cell a=7.1711 b=7.1711 c=7.1711 alpha=115.53 beta=115.53 gamma=97.93
Last column: nearest neighbours and their distance in Å.
Fractional coordinates of all 8 atoms:
Cs: 0.0000 0.0000 0.0000  8 Se 3.70-3.86
Na: 0.2500 0.7500 0.5000  4 Se 2.96
Na: 0.7500 0.2500 0.5000  4 Se 2.96
Ta: 0.5000 0.5000 0.0000  4 Se 2.42
Se: 0.1690 0.1690 0.6337  1 Ta 2.42
Se: 0.4647 0.8310 0.0000  1 Ta 2.42
Se: 0.5353 0.5353 0.3663  1 Ta 2.42
Se: 0.8310 0.4647 0.0000  1 Ta 2.42

=====

[5]
Computed, not measured: CsNaTbSe2 after structural relaxation at the PBE level of DFT.

Properties
uncorrected formation energy: -1.154 eV per atom
total DFT energy (no corrections): -3.908 eV/atom
crystal system: orthorhombic
total magnetic moment: 0.00 μB/f.u.

Unit cell a=8.9169 b=8.9169 c=6.8844 alpha=90.00 beta=90.00 gamma=129.73
Last column: nearest neighbours and their distance in Å.
Fractional coordinates of all 10 atoms:
Cs: 0.2500 0.7500 0.7513  2 Se 3.69
Cs: 0.7500 0.2500 0.2487  2 Se 3.69
Na: 0.0000 0.0000 0.5000  2 Se 2.86
Na: 0.5000 0.5000 0.5000  2 Se 2.86
Tb: 0.2500 0.2500 0.0000  4 Se 2.80
Tb: 0.7500 0.7500 0.0000  4 Se 2.80
Se: 0.1058 0.8942 0.1670  2 Tb 2.80, 1 Na 2.86
Se: 0.3942 0.6058 0.1670  2 Tb 2.80, 1 Na 2.86
Se: 0.6058 0.3942 0.8330  2 Tb 2.80, 1 Na 2.86
Se: 0.8942 0.1058 0.8330  2 Tb 2.80, 1 Na 2.86

=====

[6]
Computed, not measured: CsNaTeSe3 after structural relaxation at the PBE level of DFT.

Properties
uncorrected formation energy: -0.620 eV per atom
total DFT energy (no corrections): -3.248 eV/atom
crystal system: orthorhombic
total magnetic moment: 0.00 μB/f.u.

Unit cell a=8.1162 b=8.1162 c=7.7977 alpha=90.00 beta=90.00 gamma=122.55
Last column: nearest neighbours and their distance in Å.
Fractional coordinates of all 12 atoms:
Cs: 0.2324 0.7676 0.7500  8 Se 3.91-4.30
Cs: 0.7676 0.2324 0.2500  8 Se 3.91-4.30
Na: 0.0759 0.9241 0.2500  5 Se 2.92-2.95
Na: 0.9241 0.0759 0.7500  5 Se 2.92-2.95
Te: 0.4580 0.5420 0.2500  1 Se 2.52
Te: 0.5420 0.4580 0.7500  1 Se 2.52
Se: 0.2473 0.2473 0.0000  2 Te 2.84, 2 Na 2.95
Se: 0.2473 0.2473 0.5000  2 Te 2.84, 2 Na 2.95
Se: 0.2811 0.7189 0.2500  1 Te 2.52
Se: 0.7189 0.2811 0.7500  1 Te 2.52
Se: 0.7527 0.7527 0.0000  2 Te 2.84, 2 Na 2.95
Se: 0.7527 0.7527 0.5000  2 Te 2.84, 2 Na 2.95

=====

[7]
Computed, not measured: CsNa3Th2Se6 after structural relaxation at the PBE level of DFT.

Properties
uncorrected formation energy: -1.463 eV per atom
total DFT energy (no corrections): -4.843 eV/atom
crystal system: monoclinic
total magnetic moment: 0.00 μB/f.u.

Unit cell a=9.3978 b=9.3978 c=10.3905 alpha=100.17 beta=100.17 gamma=26.97
Last column: nearest neighbours and their distance in Å.
Fractional coordinates of all 12 atoms:
Cs: 0.0000 0.0000 0.0000  6 Se 3.61-3.69
Na: 0.0000 0.0000 0.5000  6 Se 3.05-3.13
Na: 0.3506 0.3506 0.2638  4 Se 2.87-3.02
Na: 0.6494 0.6494 0.7362  4 Se 2.87-3.02
Th: 0.3359 0.3359 0.6576  6 Se 2.77-3.05
Th: 0.6641 0.6641 0.3424  6 Se 2.77-3.05
Se: 0.1696 0.1696 0.5455  3 Na 3.02-3.05, 3 Th 3.03-3.05
Se: 0.1900 0.1900 0.1746  2 Th 2.89, 1 Na 2.91
Se: 0.4902 0.4902 0.7112  1 Th 2.77, 1 Na 2.87
Se: 0.5098 0.5098 0.2888  1 Th 2.77, 1 Na 2.87
Se: 0.8100 0.8100 0.8254  2 Th 2.89, 1 Na 2.91
Se: 0.8304 0.8304 0.4545  3 Na 3.02-3.05, 3 Th 3.03-3.05

=====

[8]
Computed, not measured: Cs4NaTh3Se8 after structural relaxation at the PBE level of DFT.

Properties
uncorrected formation energy: -1.536 eV per atom
total DFT energy (no corrections): -4.965 eV/atom
crystal system: trigonal
total magnetic moment: 0.00 μB/f.u.

Unit cell a=9.7944 b=9.7944 c=9.7944 alpha=53.55 beta=53.55 gamma=53.55
Last column: nearest neighbours and their distance in Å.
Fractional coordinates of all 16 atoms:
Cs: 0.0000 0.0000 0.0000  6 Se 3.56
Cs: 0.0000 0.5000 0.5000  6 Se 3.63-3.70
Cs: 0.5000 0.0000 0.5000  6 Se 3.63-3.70
Cs: 0.5000 0.5000 0.0000  6 Se 3.63-3.70
Na: 0.5000 0.5000 0.5000  6 Se 3.11
Th: 0.0000 0.0000 0.5000  6 Se 2.94-3.01
Th: 0.0000 0.5000 0.0000  6 Se 2.94-3.01
Th: 0.5000 0.0000 0.0000  6 Se 2.94-3.01
Se: 0.2121 0.7379 0.7379  2 Th 2.94, 1 Na 3.11
Se: 0.2302 0.2302 0.2302  3 Th 3.01
Se: 0.2621 0.2621 0.7879  2 Th 2.94, 1 Na 3.11
Se: 0.2621 0.7879 0.2621  2 Th 2.94, 1 Na 3.11
Se: 0.7379 0.2121 0.7379  2 Th 2.94, 1 Na 3.11
Se: 0.7379 0.7379 0.2121  2 Th 2.94, 1 Na 3.11
Se: 0.7698 0.7698 0.7698  3 Th 3.01
Se: 0.7879 0.2621 0.2621  2 Th 2.94, 1 Na 3.11

=====

[9]
Computed, not measured: CsNa2ThSe4 after structural relaxation at the PBE level of DFT.

Properties
uncorrected formation energy: -1.107 eV per atom
total DFT energy (no corrections): -4.213 eV/atom
crystal system: tetragonal
total magnetic moment: 0.00 μB/f.u.

Unit cell a=7.2849 b=7.2849 c=7.2849 alpha=114.40 beta=114.40 gamma=100.00
Last column: nearest neighbours and their distance in Å.
Fractional coordinates of all 8 atoms:
Cs: 0.0000 0.0000 0.0000  8 Se 3.68-3.83
Na: 0.2500 0.7500 0.5000  4 Se 2.93
Na: 0.7500 0.2500 0.5000  4 Se 2.93
Th: 0.5000 0.5000 0.0000  4 Se 2.78
Se: 0.1258 0.5328 0.0000  1 Th 2.78, 2 Na 2.93
Se: 0.4672 0.4672 0.5930  1 Th 2.78, 2 Na 2.93
Se: 0.5328 0.1258 0.0000  1 Th 2.78, 2 Na 2.93
Se: 0.8742 0.8742 0.4070  1 Th 2.78, 2 Na 2.93

=====

[10]
Computed, not measured: CsNaTiSe3 after structural relaxation at the PBE level of DFT.

Properties
uncorrected formation energy: -1.210 eV per atom
total DFT energy (no corrections): -4.630 eV/atom
crystal system: orthorhombic
total magnetic moment: 0.00 μB/f.u.

Unit cell a=7.9302 b=7.9302 c=7.1419 alpha=90.00 beta=90.00 gamma=122.66
Last column: nearest neighbours and their distance in Å.
Fractional coordinates of all 12 atoms:
Cs: 0.2505 0.7495 0.7500  4 Se 3.59-3.83
Cs: 0.7495 0.2505 0.2500  4 Se 3.59-3.83
Na: 0.0726 0.9274 0.2500  5 Se 2.88-2.95
Na: 0.9274 0.0726 0.7500  5 Se 2.88-2.95
Ti: 0.4474 0.5526 0.2500  5 Se 2.34-2.56
Ti: 0.5526 0.4474 0.7500  5 Se 2.34-2.56
Se: 0.2779 0.2779 0.0000  2 Ti 2.56
Se: 0.2779 0.2779 0.5000  2 Ti 2.56
Se: 0.2796 0.7204 0.2500  1 Ti 2.34
Se: 0.7204 0.2796 0.7500  1 Ti 2.34
Se: 0.7221 0.7221 0.0000  2 Ti 2.56
Se: 0.7221 0.7221 0.5000  2 Ti 2.56